Record 1
Below is a relaxed structure of VSi2Te6, with properties calculated at the GGA-PBE level.

a b c (Å): 7.0012 7.0012 7.5522
angles (deg): 62.39 62.39 60.00
Element x y z (fractional)
V 0.3310 0.3310 0.0069
Si 0.7313 0.7313 0.8060
Si 0.6108 0.6108 0.1677
Te 0.7342 0.4055 0.7397
Te 0.1206 0.7342 0.7397
Te 0.4055 0.1206 0.7397
Te 0.2425 0.5489 0.2677
Te 0.9409 0.2425 0.2677
Te 0.5489 0.9409 0.2677

Calculated volume = 30.09 A^3/atom
Total magnetization = 0.4 μB/cell
E = -38.89 eV/f.u.

***

Record 2
Below is a relaxed structure of V2Si2Te, with properties calculated at the GGA-PBE level.

a b c (Å): 7.0596 7.0596 3.1978
angles (deg): 90.00 90.00 90.00
Element x y z (fractional)
Si 0.1251 0.6251 0.5000
Si 0.6251 0.8749 0.5000
Si 0.8749 0.3749 0.5000
Si 0.3749 0.1251 0.5000
Te 0.0000 0.0000 0.0000
Te 0.5000 0.5000 0.0000
V 0.3413 0.8413 0.0000
V 0.8413 0.6587 0.0000
V 0.6587 0.1587 0.0000
V 0.1587 0.3413 0.0000

Calculated volume = 15.94 A^3/atom
Polymorph energy (0 for the lowest one) = 0.95 eV/f.u.
Total magnetization = 0.0 μB/cell

***

Record 3
Below is a relaxed structure of V2SiTe, with properties calculated at the GGA-PBE level.

a b c (Å): 4.4541 4.4541 4.4541
angles (deg): 60.00 60.00 60.00
Element x y z (fractional)
Si 0.0000 0.0000 0.0000
Te 0.5000 0.5000 0.5000
V 0.2500 0.2500 0.2500
V 0.7500 0.7500 0.7500

Calculated volume = 15.62 A^3/atom
Polymorph energy (0 for the lowest one) = 0.00 eV/f.u.
Total magnetization = 0.0 μB/cell

***

Record 4
Below is a relaxed structure of V3SiTe, with properties calculated at the GGA-PBE level.

a b c (Å): 4.6243 4.6243 4.6243
angles (deg): 90.00 90.00 90.00
Element x y z (fractional)
Si 0.0000 0.0000 0.0000
Te 0.5000 0.5000 0.5000
V 0.0000 0.5000 0.0000
V 0.0000 0.0000 0.5000
V 0.5000 0.0000 0.0000

Calculated volume = 19.78 A^3/atom
Polymorph energy (0 for the lowest one) = 0.00 eV/f.u.
Total magnetization = 7.4 μB/cell

***

Record 5
Below is a relaxed structure of VSi2Te8, with properties calculated at the GGA-PBE level.

a b c (Å): 6.1470 7.7705 7.7705
angles (deg): 73.40 84.51 84.51
Element x y z (fractional)
V 0.0000 0.0000 0.0000
Si 0.5997 0.8128 0.8128
Si 0.4003 0.1872 0.1872
Te 0.2833 0.2741 0.8579
Te 0.7167 0.1421 0.7259
Te 0.1858 0.7985 0.7985
Te 0.8142 0.2015 0.2015
Te 0.2833 0.8579 0.2741
Te 0.7167 0.7259 0.1421
Te 0.7921 0.6269 0.6269
Te 0.2079 0.3731 0.3731

Calculated volume = 32.10 A^3/atom
Total magnetization = 0.8 μB/cell
E = -45.07 eV/f.u.

***

Record 6
Below is a relaxed structure of Si2TeW, with properties calculated at the GGA-PBE level.

a b c (Å): 6.0201 6.0201 7.1186
angles (deg): 64.99 64.99 90.00
Element x y z (fractional)
Si 0.6701 0.1250 0.2500
Si 0.0799 0.6250 0.2500
Si 0.3750 0.3299 0.7500
Si 0.8750 0.9201 0.7500
Te 0.5000 0.5000 0.0000
Te 0.2500 0.7500 0.5000
W 0.0000 0.0000 0.0000
W 0.7500 0.2500 0.5000

Calculated volume = 25.85 A^3/atom
Total magnetization = 0.0 μB/cell
E = -23.51 eV/f.u.

***

Record 7
Below is a relaxed structure of Si2TeW, with properties calculated at the GGA-PBE level.

a b c (Å): 3.2704 3.2709 6.5406
angles (deg): 90.00 90.00 90.00
Element x y z (fractional)
Si 0.0000 0.0000 0.9416
Si 0.0000 0.0000 0.5584
Te 0.5000 0.5000 0.2500
W 0.5000 0.5000 0.7500

Calculated volume = 17.49 A^3/atom
Total magnetization = 0.0 μB/cell
E = -25.77 eV/f.u.

***

Record 8
Below is a relaxed structure of Si2TeW, with properties calculated at the GGA-PBE level.

a b c (Å): 4.5465 4.5465 5.3926
angles (deg): 86.31 86.31 43.97
Element x y z (fractional)
Si 0.9669 0.9669 0.1027
Si 0.5331 0.5331 0.3973
Te 0.7500 0.7500 0.7500
W 0.2500 0.2500 0.2500

Calculated volume = 19.30 A^3/atom
Total magnetization = 0.0 μB/cell
E = -25.40 eV/f.u.

***

Record 9
Below is a relaxed structure of Si2TeW, with properties calculated at the GGA-PBE level.

a b c (Å): 4.5109 4.5109 5.6232
angles (deg): 85.09 85.09 44.13
Element x y z (fractional)
Si 0.9689 0.9689 0.0423
Si 0.7359 0.7359 0.8322
Te 0.5487 0.5487 0.4665
W 0.2464 0.2464 0.1589

Calculated volume = 19.83 A^3/atom
Total magnetization = 0.0 μB/cell
E = -25.57 eV/f.u.

***

Record 10
Below is a relaxed structure of Si2TeW, with properties calculated at the GGA-PBE level.

a b c (Å): 4.6329 5.2476 3.5304
angles (deg): 72.72 84.90 114.30
Element x y z (fractional)
Si 0.0000 0.0000 0.0000
Si 0.5000 0.0000 0.5000
Te 0.0000 0.5000 0.5000
W 0.5000 0.5000 0.0000

Calculated volume = 18.11 A^3/atom
Total magnetization = 0.0 μB/cell
E = -23.85 eV/f.u.

***

Record 11
Below is a relaxed structure of SiTeW3, with properties calculated at the GGA-PBE level.

a b c (Å): 4.5916 4.5916 4.5916
angles (deg): 90.00 90.00 90.00
Element x y z (fractional)
Si 0.0000 0.0000 0.0000
Te 0.5000 0.5000 0.5000
W 0.0000 0.5000 0.0000
W 0.0000 0.0000 0.5000
W 0.5000 0.0000 0.0000

Calculated volume = 19.36 A^3/atom
Polymorph energy (0 for the lowest one) = 0.00 eV/f.u.
Total magnetization = 0.0 μB/cell

***

Record 12
Below is a relaxed structure of Si2TeW, with properties calculated at the GGA-PBE level.

a b c (Å): 3.2092 3.2092 7.6030
angles (deg): 90.00 90.00 90.00
Element x y z (fractional)
Si 0.0000 0.0000 0.9814
Si 0.5000 0.5000 0.1459
Te 0.0000 0.0000 0.5686
W 0.5000 0.5000 0.8041

Calculated volume = 19.58 A^3/atom
Total magnetization = 0.0 μB/cell
E = -25.81 eV/f.u.